DFT (meta-GGA SCAN) results for a PBEsol-optimized structure of InReAu2.

Cell lengths 5.054, 5.054, 5.098 Å; angles 100.69, 100.69, 32.32 degrees
Fractional coordinates of all 4 atoms:
In (0.000, 0.000, 0.000)
Re (0.500, 0.500, 0.500)
Au (0.243, 0.243, 0.737)
Au (0.757, 0.757, 0.263)

Space-group type: No. 12
VASP energy, eV per atom: -60.27
Spin magnetization, μB per cell: 0.0

DFT (meta-GGA SCAN) results for a PBEsol-optimized structure of InReAu.

Cell lengths 4.397, 4.397, 4.397 Å; angles 60.00, 60.00, 60.00 degrees
Fractional coordinates of all 3 atoms:
In (0.000, 0.000, 0.000)
Re (0.750, 0.750, 0.750)
Au (0.250, 0.250, 0.250)

Space-group type: No. 216
VASP energy, eV per atom: -56.72
Spin magnetization, μB per cell: 2.3

DFT (meta-GGA SCAN) results for a PBEsol-optimized structure of InReAu2.

Cell lengths 4.054, 4.054, 4.114 Å; angles 90.00, 90.00, 90.00 degrees
Fractional coordinates of all 4 atoms:
In (0.000, 0.000, 0.000)
Re (0.500, 0.500, 0.000)
Au (0.000, 0.500, 0.500)
Au (0.500, 0.000, 0.500)

Space-group type: No. 123
VASP energy, eV per atom: -60.30
Spin magnetization, μB per cell: 1.0

DFT (meta-GGA SCAN) results for a PBEsol-optimized structure of ZnInRe2Au.

Cell lengths 4.921, 4.921, 4.867 Å; angles 90.00, 90.00, 90.00 degrees
Fractional coordinates of all 5 atoms:
Zn (0.000, 0.000, 0.000)
In (0.500, 0.500, 0.500)
Re (0.000, 0.500, 0.500)
Re (0.500, 0.000, 0.500)
Au (0.500, 0.500, 0.000)

Space-group type: No. 123
VASP energy, eV per atom: -49.10
Spin magnetization, μB per cell: 4.8

DFT (meta-GGA SCAN) results for a PBEsol-optimized structure of ZrInRe2Au.

Cell lengths 4.714, 4.714, 5.261 Å; angles 90.00, 90.00, 90.00 degrees
Fractional coordinates of all 5 atoms:
Zr (0.000, 0.000, 0.000)
In (0.000, 0.000, 0.500)
Re (0.000, 0.500, 0.000)
Re (0.500, 0.000, 0.000)
Au (0.500, 0.500, 0.500)

Space-group type: No. 123
VASP energy, eV per atom: -52.84
Spin magnetization, μB per cell: 2.3

DFT (meta-GGA SCAN) results for a PBEsol-optimized structure of InRhAu2.

Cell lengths 3.052, 3.761, 5.823 Å; angles 90.00, 90.00, 90.00 degrees
Fractional coordinates of all 4 atoms:
In (0.000, 0.000, 0.000)
Rh (0.500, 0.500, 0.221)
Au (0.000, 0.000, 0.480)
Au (0.500, 0.500, 0.723)

Space-group type: No. 25
VASP energy, eV per atom: -51.52
Spin magnetization, μB per cell: 0.0